# 1
Crystalline ZnCdSb4Pd2 at its relaxed geometry. Source: the Open Quantum Materials Database, functional GGA-PBE.

Results
SG	No. 82

```
8
Lattice="6.043 3.782 -2.707 0.620 6.827 3.341 -0.851 -7.048 2.785" Properties=species:S:1:pos:R:3 pbc="T T T"
Zn 1.550 2.542 3.221
Sb 5.317 5.954 1.840
Pd 3.332 5.305 0.317
Cd 0.000 0.000 0.000
Sb 3.694 3.174 -1.102
Sb 0.332 -2.456 4.351
Pd 4.262 1.020 0.198
Sb 2.280 0.451 1.749
```

=====

# 2
Crystalline PuU2 at its relaxed geometry. Source: the Open Quantum Materials Database, functional GGA-PBE.

Results
size of the total moment	3.99	μB per formula unit
SG	No. 227
formation enthalpy at 0 K	1.62	eV per atom

```
6
Lattice="3.832 2.212 6.257 -3.832 2.212 6.257 0.000 -4.425 6.257" Properties=species:S:1:pos:R:3 pbc="T T T"
Pu 0.000 0.000 2.346
U 1.916 1.106 3.129
U 0.000 -2.212 3.129
U -1.916 1.106 3.129
U 0.000 0.000 0.000
Pu 0.000 0.000 16.425
```

=====

# 3
Crystalline ScBeAsOs at its relaxed geometry. Source: the Open Quantum Materials Database, functional GGA-PBE.

Results
offset from the most stable computed form	0.327	eV/atom
size of the total moment	0.00	μB per formula unit
SG	No. 216

```
4
Lattice="0.000 3.103 3.103 3.103 0.000 3.103 3.103 3.103 0.000" Properties=species:S:1:pos:R:3 pbc="T T T"
As 0.000 0.000 0.000
Os 3.103 3.103 3.103
Sc 1.552 1.552 1.552
Be 4.655 4.655 4.655
```

=====

# 4
Crystalline CoNiSnPd at its relaxed geometry. Source: the Open Quantum Materials Database, functional GGA-PBE.

Results
offset from the most stable computed form	0.000	eV/atom
size of the total moment	1.07	μB per formula unit
SG	No. 216

```
4
Lattice="3.973 -0.040 1.682 2.242 3.672 0.326 0.719 1.752 3.877" Properties=species:S:1:pos:R:3 pbc="T T T"
Ni 1.734 1.346 1.471
Co 5.201 4.038 4.413
Sn 0.000 0.000 0.000
Pd 3.467 2.692 2.942
```

=====

# 5
Crystalline SiGePd2 at its relaxed geometry. Source: the Open Quantum Materials Database, functional GGA-PBE.

Results
offset from the most stable computed form	0.014	eV/atom
SG	No. 26

```
8
Lattice="3.546 0.000 0.000 0.000 6.245 0.000 0.000 0.000 5.720" Properties=species:S:1:pos:R:3 pbc="T T T"
Ge 0.000 5.171 3.886
Pd 1.773 5.839 5.719
Pd 0.000 3.470 0.031
Si 1.773 4.190 1.804
Pd 0.000 2.775 2.891
Si 1.773 2.055 4.664
Pd 1.773 0.406 2.859
Ge 0.000 1.074 1.026
```

=====

# 6
Crystalline ScAlNi2 at its relaxed geometry. Source: the Open Quantum Materials Database, functional GGA-PBE.

Results
size of the total moment	0.00	μB per formula unit
SG	No. 216

```
4
Lattice="0.000 3.041 3.041 3.041 0.000 3.041 3.041 3.041 0.000" Properties=species:S:1:pos:R:3 pbc="T T T"
Ni 0.000 0.000 0.000
Al 3.041 3.041 3.041
Ni 4.562 4.562 4.562
Sc 1.521 1.521 1.521
```

=====

# 7
Crystalline MgAgB at its relaxed geometry. Source: the Open Quantum Materials Database, functional GGA-PBE.

Results
offset from the most stable computed form	0.000	eV/atom
SG	No. 216

```
3
Lattice="0.000 2.823 2.823 2.823 0.000 2.823 2.823 2.823 0.000" Properties=species:S:1:pos:R:3 pbc="T T T"
Mg 4.234 4.234 4.234
B 0.000 0.000 0.000
Ag 1.411 1.411 1.411
```

=====

# 8
Crystalline Er2Pb2O5 at its relaxed geometry. Source: the Open Quantum Materials Database, functional GGA-PBE.

Results
offset from the most stable computed form	0.000	eV/atom
size of the total moment	0.00	μB per formula unit
SG	No. 123

```
9
Lattice="-1.437 -2.565 7.588 3.870 -1.827 0.115 1.668 3.629 1.543" Properties=species:S:1:pos:R:3 pbc="T T T"
Er 1.683 -1.037 6.562
Pb 0.000 0.000 0.000
O -0.320 -0.244 6.861
O 2.050 -0.382 4.623
Er 2.418 0.274 2.684
O 0.550 1.308 2.269
O 1.652 -1.420 1.556
O 0.782 -2.972 6.148
Pb -0.719 -1.283 3.794
```

=====

# 9
Crystalline Cu7Ge at its relaxed geometry. Source: the Open Quantum Materials Database, functional GGA-PBE.

Results
offset from the most stable computed form	0.000	eV/atom
SG	No. 129

```
16
Lattice="-0.096 -1.755 -1.891 0.507 -1.869 1.709 -41.028 -4.990 6.705" Properties=species:S:1:pos:R:3 pbc="T T T"
Cu -16.182 -1.968 2.645
Ge -33.905 -4.124 5.541
Cu -31.691 -5.692 5.122
Cu -17.706 -3.991 2.836
Cu -30.098 -3.661 4.919
Cu -9.130 -1.111 1.492
Cu -26.582 -3.233 4.345
Cu -23.117 -2.812 3.778
Cu -19.646 -2.390 3.211
Cu -10.724 -3.141 1.695
Cu -28.128 -5.258 4.539
Cu -14.240 -3.569 2.269
Cu -21.177 -4.413 3.403
Cu -12.694 -1.544 2.075
Ge -6.916 -2.678 1.073
Cu -24.641 -4.834 3.969
```

=====

# 10
Crystalline NaMgNp at its relaxed geometry. Source: the Open Quantum Materials Database, functional GGA-PBE.

Results
offset from the most stable computed form	0.000	eV/atom
size of the total moment	5.42	μB per formula unit
SG	No. 216

```
3
Lattice="0.000 3.723 3.723 3.723 0.000 3.723 3.723 3.723 0.000" Properties=species:S:1:pos:R:3 pbc="T T T"
Na 1.861 1.861 1.861
Np 5.584 5.584 5.584
Mg 0.000 0.000 0.000
```

=====

# 11
Crystalline GaCoB at its relaxed geometry. Source: the Open Quantum Materials Database, functional GGA-PBE.

Results
offset from the most stable computed form	0.322	eV/atom
size of the total moment	0.00	μB per formula unit
SG	No. 216

```
3
Lattice="0.000 2.607 2.607 2.607 0.000 2.607 2.607 2.607 0.000" Properties=species:S:1:pos:R:3 pbc="T T T"
Co 0.000 0.000 0.000
Ga 3.910 3.910 3.910
B 1.303 1.303 1.303
```

=====

# 12
Crystalline Gd2F at its relaxed geometry. Source: the Open Quantum Materials Database, functional GGA-PBE.

Results
offset from the most stable computed form	0.000	eV/atom
size of the total moment	2.27	μB per formula unit
SG	No. 227

```
6
Lattice="3.706 2.140 6.052 -3.706 2.140 6.052 0.000 -4.279 6.052" Properties=species:S:1:pos:R:3 pbc="T T T"
Gd -1.853 1.070 9.834
Gd 0.000 -2.140 9.834
Gd 1.853 1.070 9.834
Gd 0.000 0.000 6.808
F 0.000 0.000 4.539
F 0.000 0.000 9.077
```

=====

| no. | uncorrected energy (eV per atom) |
| --- | --- |
| 1 | -3.58 |
| 2 | -10.62 |
| 3 | -6.40 |
| 4 | -5.56 |
| 5 | -5.59 |
| 6 | -5.62 |
| 7 | -3.20 |
| 8 | -6.80 |
| 9 | -3.78 |
| 10 | -4.07 |
| 11 | -5.21 |
| 12 | -4.15 |